First-principles (PBE) data for crystalline Pm11Er9Tm4 at its relaxed geometry, as listed in the Alexandria database.

Unit cell a=16.8346 b=25.5437 c=3.6286 alpha=90.00 beta=90.00 gamma=90.00
Space group Cmmm (No. 65)
Unique sites:
1 Pm 0.0000 0.0000 0.0000 x2
2 Pm 0.0000 0.1607 0.0000 x4
3 Pm 0.0000 0.3687 0.0000 x4
4 Pm 0.2072 0.5000 0.0000 x4
5 Pm 0.2243 0.1812 0.0000 x8
6 Er 0.0000 0.5000 0.5000 x2
7 Er 0.1021 0.2680 0.5000 x8
8 Er 0.1415 0.0728 0.5000 x8
9 Tm 0.1572 0.3982 0.5000 x8

Properties
As for the formation enthalpy at 0 K: 53 meV/atom. The calculation puts the raw total energy at -0.3367 Ry/atom.